! K2VFeO5 PBE+U optimized geometry; values from VASP
! - total magnetic moment (μB/atom) = 0.56
! - final energy (Ha/atom) = -0.2235
&SYSTEM
  ibrav = 0, nat = 18, ntyp = 4
/
ATOMIC_SPECIES
K 39.10 K.upf
V 50.94 V.upf
Fe 55.84 Fe.upf
O 16.00 O.upf
CELL_PARAMETERS angstrom
1.668 -7.904 0.000
1.668 7.904 0.000
0.000 0.000 11.221
ATOMIC_POSITIONS angstrom
K 1.668 6.333 5.611
K 1.668 5.700 1.870
K 1.668 -5.700 7.481
K 1.668 -6.333 0.000
V 1.668 1.185 3.115
V 1.668 -1.185 8.726
Fe 1.668 4.407 9.983
Fe 1.668 -4.407 4.372
O 1.668 6.991 9.506
O 1.668 2.914 5.179
O 1.668 2.705 2.372
O 1.668 2.679 9.546
O 1.668 0.108 1.828
O 1.668 -0.108 7.439
O 1.668 -2.679 3.936
O 1.668 -2.705 7.983
O 1.668 -2.914 10.790
O 1.668 -6.991 3.896